[1]
# LaFe2Re | Alexandria via LeMat-Bulk | PBE-GGA | relaxed
data_LaFe2Re
_symmetry_space_group_name_H-M 'P 1'
_symmetry_Int_Tables_number 1
_symmetry_space_group_name_Hall 'P 1'
_cell_length_a 5.600
_cell_length_b 5.600
_cell_length_c 5.600
_cell_angle_alpha 150.04
_cell_angle_beta 129.58
_cell_angle_gamma 59.76
loop_
_atom_site_label
_atom_site_fract_x
_atom_site_fract_y
_atom_site_fract_z
_atom_site_occupancy
Fe1 0.783 0.283 0.500 1
Re1 0.218 0.718 0.500 1
La1 0.499 0.499 0.000 1
Fe2 0.000 0.000 0.000 1
# Space-group type = No. 44
# ΔE_f = 0.58 eV/atom

=====

[2]
# LaFeRe2 | Alexandria via LeMat-Bulk | PBE-GGA | relaxed
data_LaFeRe2
_symmetry_space_group_name_H-M 'P 1'
_symmetry_Int_Tables_number 1
_symmetry_space_group_name_Hall 'P 1'
_cell_length_a 4.550
_cell_length_b 4.550
_cell_length_c 4.550
_cell_angle_alpha 60.00
_cell_angle_beta 60.00
_cell_angle_gamma 60.00
loop_
_atom_site_label
_atom_site_fract_x
_atom_site_fract_y
_atom_site_fract_z
_atom_site_occupancy
La1 0.500 0.500 0.500 1
Fe1 0.000 0.000 0.000 1
Re1 0.250 0.250 0.250 1
Re2 0.750 0.750 0.750 1
# Space-group type = No. 225
# ΔE_f = 0.96 eV/atom

=====

[3]
# LaFe3Re | Alexandria via LeMat-Bulk | PBE-GGA | relaxed
data_LaFe3Re
_symmetry_space_group_name_H-M 'P 1'
_symmetry_Int_Tables_number 1
_symmetry_space_group_name_Hall 'P 1'
_cell_length_a 4.614
_cell_length_b 4.614
_cell_length_c 4.614
_cell_angle_alpha 90.00
_cell_angle_beta 90.00
_cell_angle_gamma 90.00
loop_
_atom_site_label
_atom_site_fract_x
_atom_site_fract_y
_atom_site_fract_z
_atom_site_occupancy
La1 0.500 0.500 0.500 1
Fe1 0.000 0.500 0.000 1
Fe2 0.500 0.000 0.000 1
Re1 0.000 0.000 0.000 1
Fe3 0.000 0.000 0.500 1
# Space-group type = No. 221
# ΔE_f = 0.76 eV/atom

=====

[4]
# LaFe2Re | Alexandria via LeMat-Bulk | PBE-GGA | relaxed
data_LaFe2Re
_symmetry_space_group_name_H-M 'P 1'
_symmetry_Int_Tables_number 1
_symmetry_space_group_name_Hall 'P 1'
_cell_length_a 3.015
_cell_length_b 3.015
_cell_length_c 7.437
_cell_angle_alpha 90.00
_cell_angle_beta 90.00
_cell_angle_gamma 90.00
loop_
_atom_site_label
_atom_site_fract_x
_atom_site_fract_y
_atom_site_fract_z
_atom_site_occupancy
Fe1 0.000 0.000 0.007 1
Re1 0.500 0.500 0.823 1
Fe2 0.500 0.500 0.178 1
La1 0.000 0.000 0.492 1
# Space-group type = No. 99
# ΔE_f = 0.34 eV/atom

=====

[5]
# LaFe2Re | Alexandria via LeMat-Bulk | PBE-GGA | relaxed
data_LaFe2Re
_symmetry_space_group_name_H-M 'P 1'
_symmetry_Int_Tables_number 1
_symmetry_space_group_name_Hall 'P 1'
_cell_length_a 4.175
_cell_length_b 3.135
_cell_length_c 5.609
_cell_angle_alpha 75.22
_cell_angle_beta 90.00
_cell_angle_gamma 90.00
loop_
_atom_site_label
_atom_site_fract_x
_atom_site_fract_y
_atom_site_fract_z
_atom_site_occupancy
La1 0.000 0.486 0.444 1
Re1 0.500 0.743 0.894 1
Fe1 0.500 0.092 0.214 1
Fe2 0.000 0.179 0.947 1
# Space-group type = No. 6
# ΔE_f = 0.46 eV/atom

=====

[6]
# LaFe2Re | Alexandria via LeMat-Bulk | PBE-GGA | relaxed
data_LaFe2Re
_symmetry_space_group_name_H-M 'P 1'
_symmetry_Int_Tables_number 1
_symmetry_space_group_name_Hall 'P 1'
_cell_length_a 4.545
_cell_length_b 4.545
_cell_length_c 4.545
_cell_angle_alpha 120.01
_cell_angle_beta 120.01
_cell_angle_gamma 89.99
loop_
_atom_site_label
_atom_site_fract_x
_atom_site_fract_y
_atom_site_fract_z
_atom_site_occupancy
Fe1 0.000 0.000 0.000 1
Fe2 0.250 0.750 0.500 1
La1 0.500 0.500 0.000 1
Re1 0.750 0.250 0.500 1
# Space-group type = No. 216
# ΔE_f = 0.70 eV/atom